Entry 1:
## Sr3ZnGe (GGA-PBEsol)

Data for a relaxed Sr3ZnGe crystal.

- D(E_F): 1.1140 states/eV per atom
- Energy of formation: -0.02 eV/atom

Cell and atoms, written as POSCAR:
```
Sr3ZnGe
1.0
5.998 0.000 0.000
0.000 5.998 0.000
0.000 0.000 5.998
Sr Ge Zn
3 1 1
direct
0.000 0.500 0.000
0.000 0.000 0.500
0.500 0.000 0.000
0.000 0.000 0.000
0.500 0.500 0.500
```

=====

Entry 2:
## SrZn2Ge2 (GGA-PBEsol)

Data for a relaxed SrZn2Ge2 crystal.

- D(E_F): 0.3021 states/eV per atom
- Energy of formation: -0.35 eV/atom

Cell and atoms, written as POSCAR:
```
SrZn2Ge2
1.0
-0.306 -0.153 -4.333
-0.882 -4.251 0.213
-4.562 3.288 2.387
Sr Ge Zn
1 2 2
direct
0.000 0.000 0.000
0.250 0.750 0.500
0.750 0.250 0.500
0.384 0.384 0.769
0.616 0.616 0.231
```

=====

Entry 3:
## Sr2ZnGe (GGA-PBEsol)

Data for a relaxed Sr2ZnGe crystal.

- D(E_F): 0.1019 states/eV per atom
- Energy of formation: -0.41 eV/atom

Cell and atoms, written as POSCAR:
```
Sr2ZnGe
1.0
-0.246 4.865 2.245
-4.620 2.726 -0.006
-2.702 0.707 4.579
Sr Ge Zn
2 1 1
direct
0.250 0.250 0.250
0.750 0.750 0.750
0.500 0.500 0.500
0.000 0.000 0.000
```

=====

Entry 4:
## Ta3Ge (GGA-PBEsol)

Data for a relaxed Ta3Ge crystal.

- D(E_F): 0.7200 states/eV per atom
- Energy of formation: -0.30 eV/atom

Cell and atoms, written as POSCAR:
```
Ta3Ge
1.0
-3.343 -2.847 -2.672
-5.107 -3.178 4.832
-6.000 4.374 -2.098
Ta Ge
12 4
direct
0.472 0.659 0.368
0.870 0.632 0.659
0.160 0.368 0.341
0.498 0.341 0.632
0.046 0.023 0.406
0.931 0.594 0.023
0.549 0.406 0.977
0.475 0.977 0.594
0.827 0.985 0.818
0.188 0.182 0.985
0.355 0.818 0.015
0.629 0.015 0.182
0.008 0.265 0.684
0.726 0.316 0.265
0.308 0.684 0.735
0.958 0.735 0.316
```

=====

Entry 5:
## Ta5Ge3 (GGA-PBEsol)

Data for a relaxed Ta5Ge3 crystal.

- D(E_F): 0.8743 states/eV per atom
- Energy of formation: -0.33 eV/atom

Cell and atoms, written as POSCAR:
```
Ta5Ge3
1.0
-2.042 3.951 2.846
1.690 -3.718 6.375
5.022 4.783 -3.038
Ta Ge
10 6
direct
0.750 0.239 0.000
0.250 0.761 0.000
0.250 0.239 0.239
0.750 0.000 0.239
0.750 0.761 0.761
0.250 0.000 0.761
0.000 0.333 0.667
0.500 0.667 0.333
0.000 0.667 0.333
0.500 0.333 0.667
0.750 0.000 0.604
0.250 0.604 0.604
0.250 0.396 0.000
0.750 0.604 0.000
0.750 0.396 0.396
0.250 0.000 0.396
```

=====

Entry 6:
## Ta3Ge (GGA-PBEsol)

Data for a relaxed Ta3Ge crystal.

- D(E_F): 0.6139 states/eV per atom
- Energy of formation: -0.31 eV/atom

Cell and atoms, written as POSCAR:
```
Ta3Ge
1.0
-2.637 4.377 -1.019
-4.013 -4.353 -8.317
-7.838 -3.424 5.574
Ta Ge
24 8
direct
0.721 0.517 0.649
0.221 0.149 0.983
0.532 0.099 0.415
0.468 0.415 0.901
0.486 0.713 0.812
0.986 0.688 0.213
0.779 0.983 0.851
0.514 0.188 0.713
0.032 0.085 0.599
0.779 0.017 0.149
0.721 0.483 0.351
0.986 0.312 0.787
0.279 0.649 0.483
0.968 0.401 0.085
0.014 0.213 0.312
0.279 0.351 0.517
0.221 0.851 0.017
0.032 0.915 0.401
0.014 0.787 0.688
0.968 0.599 0.915
0.468 0.585 0.099
0.514 0.812 0.287
0.486 0.287 0.188
0.532 0.901 0.585
0.283 0.972 0.796
0.783 0.296 0.528
0.717 0.796 0.028
0.783 0.704 0.472
0.717 0.204 0.972
0.217 0.472 0.296
0.283 0.028 0.204
0.217 0.528 0.704
```

=====

Entry 7:
## Ta5Ge3 (GGA-PBEsol)

Data for a relaxed Ta5Ge3 crystal.

- D(E_F): 0.3602 states/eV per atom
- Energy of formation: -0.42 eV/atom

Cell and atoms, written as POSCAR:
```
Ta5Ge3
1.0
-4.330 1.596 -4.720
-0.487 -7.085 2.667
-4.979 -1.161 4.175
Ta Ge
10 6
direct
0.007 0.692 0.493
0.507 0.692 0.315
0.185 0.692 0.993
0.493 0.308 0.685
0.685 0.692 0.815
0.993 0.308 0.507
0.315 0.308 0.185
0.815 0.308 0.007
0.500 0.000 0.500
0.000 0.000 0.000
0.136 0.000 0.636
0.636 0.000 0.864
0.364 0.000 0.136
0.864 0.000 0.364
0.750 0.500 0.250
0.250 0.500 0.750
```

=====

Entry 8:
## TaTcGe3 (GGA-PBEsol)

Data for a relaxed TaTcGe3 crystal.

- D(E_F): 0.9753 states/eV per atom
- Energy of formation: 1.31 eV/atom

Cell and atoms, written as POSCAR:
```
TaTcGe3
1.0
4.891 0.000 0.000
0.000 4.891 0.000
0.000 0.000 4.891
Ge Tc Ta
3 1 1
direct
0.000 0.500 0.000
0.000 0.000 0.500
0.500 0.000 0.000
0.500 0.500 0.500
0.000 0.000 0.000
```